Material: NaCoAs2
Method: DFT, GGA-PBE
State: relaxed

Lattice parameters (Å, degrees): 3.823 3.823 6.447 72.75 72.75 60.00
Fractional positions:
Na  0.500  0.500  0.500
As  0.282  0.282  0.153
As  0.718  0.718  0.847
Co  0.000  0.000  0.000

Results
Formation energy from the elements = -0.222 eV per atom
Excess energy over the best structure of this formula in the dataset = 0 meV per atom
DFT total energy = -4.6534 eV/atom

***

Material: Cs2AgSn2
Method: DFT, GGA-PBE
State: relaxed

Lattice parameters (Å, degrees): 11.420 11.420 3.557 90.00 90.00 90.00
Fractional positions:
Cs  0.209  0.709  0.500
Cs  0.709  0.791  0.500
Cs  0.791  0.291  0.500
Cs  0.291  0.209  0.500
Sn  0.415  0.915  0.000
Sn  0.915  0.585  0.000
Sn  0.585  0.085  0.000
Sn  0.085  0.415  0.000
Ag  0.000  0.000  0.000
Ag  0.500  0.500  0.000

Results
Formation energy from the elements = 0.196 eV per atom
Excess energy over the best structure of this formula in the dataset = 290 meV per atom
DFT total energy = -2.3169 eV/atom

***

Material: TcSbP2
Method: DFT, GGA-PBE
State: relaxed

Lattice parameters (Å, degrees): 4.434 4.500 4.500 58.25 90.00 90.00
Fractional positions:
P  0.000  0.936  0.936
P  0.500  0.168  0.168
Sb  0.000  0.597  0.597
Tc  0.500  0.800  0.800

Results
Raw formation energy = 0.137 eV/atom
DFT total energy = -6.1896 eV/atom

***

Material: BeHg2P
Method: DFT, GGA-PBE
State: relaxed

Lattice parameters (Å, degrees): 3.710 5.554 5.554 46.41 90.00 90.00
Fractional positions:
P  0.000  0.582  0.583
Hg  0.000  0.945  0.945
Hg  0.500  0.294  0.294
Be  0.500  0.678  0.678

Results
Formation energy from the elements = 0.141 eV per atom
Excess energy over the best structure of this formula in the dataset = 117 meV per atom
DFT total energy = -2.2941 eV/atom

***

Material: PmBeNi
Method: DFT, GGA-PBE
State: relaxed

Lattice parameters (Å, degrees): 5.554 5.554 7.244 90.00 90.00 104.63
Fractional positions:
Ni  0.809  0.809  0.177
Ni  0.691  0.691  0.677
Ni  0.191  0.191  0.823
Ni  0.309  0.309  0.323
Pm  0.689  0.311  0.000
Pm  0.311  0.689  0.000
Pm  0.189  0.811  0.500
Pm  0.811  0.189  0.500
Be  0.611  0.611  0.393
Be  0.111  0.111  0.107
Be  0.889  0.889  0.893
Be  0.389  0.389  0.607

Results
Formation energy from the elements = -0.140 eV per atom
Excess energy over the best structure of this formula in the dataset = 94 meV per atom
DFT total energy = -4.8928 eV/atom

***

Material: FeOs2Se
Method: DFT, GGA-PBE
State: relaxed

Lattice parameters (Å, degrees): 5.435 5.435 6.498 65.28 65.28 90.00
Fractional positions:
Os  0.599  0.125  0.250
Os  0.151  0.625  0.250
Os  0.375  0.401  0.750
Os  0.875  0.849  0.750
Fe  0.500  0.500  0.000
Fe  0.250  0.750  0.500
Se  0.000  0.000  0.000
Se  0.750  0.250  0.500

Results
Raw formation energy = 1.002 eV/atom
DFT total energy = -7.5992 eV/atom

***

Material: PrHgTeO
Method: DFT, GGA-PBE
State: relaxed

Lattice parameters (Å, degrees): 4.058 4.058 13.231 90.00 90.00 90.00
Fractional positions:
Pr  0.750  0.750  0.909
Pr  0.250  0.250  0.091
Hg  0.250  0.750  0.500
Hg  0.750  0.250  0.500
Te  0.750  0.750  0.253
Te  0.250  0.250  0.747
O  0.750  0.250  0.000
O  0.250  0.750  0.000

Results
Raw formation energy = -1.647 eV/atom
DFT total energy = -4.9427 eV/atom

***

Material: MnTeSN2
Method: DFT, GGA-PBE
State: relaxed

Lattice parameters (Å, degrees): 3.754 3.754 4.870 90.00 90.00 90.00
Fractional positions:
S  0.000  0.000  0.500
Te  0.500  0.500  0.500
Mn  0.000  0.000  0.000
N  0.000  0.500  0.000
N  0.500  0.000  0.000

Results
Raw formation energy = 0.792 eV/atom
Excess energy over the best structure of this formula in the dataset = 118 meV per atom
DFT total energy = -5.8262 eV/atom

***

Material: Zr4Tl2Hg3
Method: DFT, GGA-PBE
State: relaxed

Lattice parameters (Å, degrees): 4.371 5.317 10.127 71.42 77.54 65.73
Fractional positions:
Zr  0.668  0.552  0.112
Zr  0.993  0.343  0.670
Zr  0.007  0.657  0.330
Zr  0.332  0.448  0.888
Tl  0.341  0.104  0.214
Tl  0.659  0.896  0.786
Hg  0.333  0.776  0.558
Hg  0.000  0.000  0.000
Hg  0.667  0.224  0.442

Results
Formation energy from the elements = -0.050 eV per atom
DFT total energy = -4.4752 eV/atom

***

Material: CdNiTeN2
Method: DFT, GGA-PBE
State: relaxed

Lattice parameters (Å, degrees): 4.127 4.127 6.352 90.00 90.00 90.00
Fractional positions:
Ni  0.500  0.500  0.500
N  0.000  0.500  0.000
N  0.500  0.000  0.000
Te  0.000  0.000  0.500
Cd  0.000  0.000  0.000

Results
Raw formation energy = 1.903 eV/atom
Excess energy over the best structure of this formula in the dataset = 733 meV per atom
DFT total energy = -3.3947 eV/atom

***

Material: CrCu2Ag
Method: DFT, GGA-PBE
State: relaxed

Lattice parameters (Å, degrees): 4.334 4.334 4.334 60.00 60.00 60.00
Fractional positions:
Cr  0.000  0.000  0.000
Cu  0.250  0.250  0.250
Cu  0.750  0.750  0.750
Ag  0.500  0.500  0.500

Results
Formation energy from the elements = 0.298 eV per atom
Excess energy over the best structure of this formula in the dataset = 15 meV per atom
DFT total energy = -4.8683 eV/atom

***

Material: ZrFe2Re3
Method: DFT, GGA-PBE
State: relaxed

Lattice parameters (Å, degrees): 4.243 5.118 5.117 120.00 90.00 90.00
Fractional positions:
Zr  0.000  0.001  0.000
Fe  0.000  0.334  0.667
Fe  0.000  0.668  0.333
Re  0.500  0.001  0.500
Re  0.500  0.501  0.500
Re  0.500  0.501  0.000

Results
Formation energy from the elements = 0.056 eV per atom
DFT total energy = -10.4136 eV/atom

***

Material: TaTlGe3
Method: DFT, GGA-PBE
State: relaxed

Lattice parameters (Å, degrees): 5.130 5.130 5.130 90.00 90.00 90.00
Fractional positions:
Tl  0.000  0.000  0.000
Ge  0.000  0.500  0.000
Ge  0.000  0.000  0.500
Ge  0.500  0.000  0.000
Ta  0.500  0.500  0.500

Results
Formation energy from the elements = 1.808 eV per atom
Excess energy over the best structure of this formula in the dataset = 1536 meV per atom
DFT total energy = -3.8061 eV/atom

***

Material: Si3OsO
Method: DFT, GGA-PBE
State: relaxed

Lattice parameters (Å, degrees): 3.953 3.953 3.953 90.00 90.00 90.00
Fractional positions:
Si  0.000  0.500  0.000
Si  0.000  0.000  0.500
Si  0.500  0.000  0.000
Os  0.500  0.500  0.500
O  0.000  0.000  0.000

Results
Raw formation energy = 0.203 eV/atom
Excess energy over the best structure of this formula in the dataset = 0 meV per atom
DFT total energy = -6.2886 eV/atom

***

Material: LaNd2TlO
Method: DFT, GGA-PBE
State: relaxed

Lattice parameters (Å, degrees): 5.037 5.020 5.020 90.00 90.00 90.00
Fractional positions:
La  0.500  0.000  0.000
Nd  0.000  0.000  0.500
Nd  0.000  0.500  0.000
Tl  0.500  0.500  0.500
O  0.000  0.000  0.000

Results
Raw formation energy = -1.357 eV/atom
DFT total energy = -5.7148 eV/atom

***

Material: LaSc2Ir
Method: DFT, GGA-PBE
State: relaxed

Lattice parameters (Å, degrees): 5.511 5.511 3.219 90.00 90.00 116.33
Fractional positions:
Ir  0.500  0.000  0.500
La  0.000  0.500  0.500
Sc  0.000  0.000  0.000
Sc  0.500  0.500  0.000

Results
Formation energy from the elements = -0.051 eV per atom
Excess energy over the best structure of this formula in the dataset = 440 meV per atom
DFT total energy = -6.6641 eV/atom

***

Material: LiP2Cl
Method: DFT, GGA-PBE
State: relaxed

Lattice parameters (Å, degrees): 8.463 8.463 8.463 23.64 23.64 23.64
Fractional positions:
Cl  0.474  0.474  0.474
Li  0.771  0.771  0.771
P  0.985  0.985  0.985
P  0.270  0.270  0.270

Results
Raw formation energy = -0.700 eV/atom
Excess energy over the best structure of this formula in the dataset = 24 meV per atom
DFT total energy = -4.3448 eV/atom

***

Material: SrBiSb2Te
Method: DFT, GGA-PBE
State: relaxed

Lattice parameters (Å, degrees): 6.003 6.003 5.938 90.00 90.00 90.00
Fractional positions:
Sb  0.000  0.500  0.000
Sb  0.500  0.000  0.000
Te  0.000  0.000  0.500
Bi  0.500  0.500  0.500
Sr  0.000  0.000  0.000

Results
Raw formation energy = 0.675 eV/atom
Excess energy over the best structure of this formula in the dataset = 592 meV per atom
DFT total energy = -2.7153 eV/atom

***

Material: Pm2YTl3S6
Method: DFT, GGA-PBE
State: relaxed

Lattice parameters (Å, degrees): 7.123 7.123 7.874 98.67 98.67 119.99
Fractional positions:
Pm  0.333  0.667  0.000
Pm  0.667  0.333  0.000
Y  0.000  0.000  0.000
Tl  0.167  0.833  0.500
Tl  0.833  0.167  0.500
Tl  0.500  0.500  0.500
S  0.933  0.606  0.799
S  0.741  0.741  0.202
S  0.067  0.394  0.201
S  0.606  0.933  0.799
S  0.259  0.259  0.798
S  0.394  0.067  0.201

Results
Raw formation energy = -1.473 eV/atom
DFT total energy = -5.4589 eV/atom

***

Material: TbIn3Pd3
Method: DFT, GGA-PBE
State: relaxed

Lattice parameters (Å, degrees): 8.038 8.038 7.261 56.40 56.40 60.00
Fractional positions:
Tb  0.333  0.333  0.002
Tb  0.667  0.667  0.998
In  0.446  0.786  0.646
In  0.786  0.121  0.646
In  0.121  0.446  0.646
In  0.879  0.554  0.354
In  0.214  0.879  0.354
In  0.554  0.214  0.354
Pd  0.257  0.640  0.153
Pd  0.950  0.257  0.153
Pd  0.640  0.950  0.153
Pd  0.360  0.050  0.847
Pd  0.050  0.743  0.847
Pd  0.743  0.360  0.847

Results
Formation energy from the elements = -0.524 eV per atom
Excess energy over the best structure of this formula in the dataset = 0 meV per atom
DFT total energy = -4.5849 eV/atom